# 1
# EuAgSn | Alexandria | meta-GGA SCAN | PBEsol geometry
data_EuAgSn
_chemical_formula_sum 'Eu4 Ag4 Sn4'
_symmetry_space_group_name_H-M 'C 1 2/m 1'
_symmetry_Int_Tables_number 12
_cell_length_a 11.052
_cell_length_b 4.740
_cell_length_c 7.561
_cell_angle_alpha 90.00
_cell_angle_beta 131.59
_cell_angle_gamma 90.00
loop_
_symmetry_equiv_pos_as_xyz
'x,y,z'
'-x,-y,-z'
'-x,y,-z'
'x,-y,z'
'x+1/2,y+1/2,z'
'-x+1/2,-y+1/2,-z'
'-x+1/2,y+1/2,-z'
'x+1/2,-y+1/2,z'
loop_
_atom_site_label
_atom_site_type_symbol
_atom_site_fract_x
_atom_site_fract_y
_atom_site_fract_z
_atom_site_occupancy
Eu1 Eu 0.042 0.000 0.300 1
Ag1 Ag 0.162 0.500 0.710 1
Sn1 Sn 0.166 0.500 0.110 1
# Magnetic moment, Bohr magnetons per cell: 28.12
# DFT formation energy, eV per formula unit: -1.653

***

# 2
# Cd2ReBiIr | Alexandria | meta-GGA SCAN | PBEsol geometry
data_Cd2ReBiIr
_chemical_formula_sum 'Cd2 Re1 Bi1 Ir1'
_symmetry_space_group_name_H-M 'P 4/m m m'
_symmetry_Int_Tables_number 123
_symmetry_space_group_name_Hall '-P 4 2'
_cell_length_a 5.192
_cell_length_b 5.192
_cell_length_c 5.046
_cell_angle_alpha 90.00
_cell_angle_beta 90.00
_cell_angle_gamma 90.00
loop_
_atom_site_label
_atom_site_type_symbol
_atom_site_fract_x
_atom_site_fract_y
_atom_site_fract_z
_atom_site_occupancy
Cd1 Cd 0.000 0.500 0.000 1
Re1 Re 0.000 0.000 0.500 1
Bi1 Bi 0.000 0.000 0.000 1
Ir1 Ir 0.500 0.500 0.500 1
# Magnetic moment, Bohr magnetons per cell: 1.86
# DFT formation energy, eV per formula unit: 12.355

***

# 3
# SrCdP | Alexandria | meta-GGA SCAN | PBEsol geometry
data_SrCdP
_chemical_formula_sum 'Sr1 Cd1 P1'
_symmetry_space_group_name_H-M 'P 3 m 1'
_symmetry_Int_Tables_number 156
_cell_length_a 4.3943
_cell_length_b 4.3943
_cell_length_c 4.4161
_cell_angle_alpha 90.00
_cell_angle_beta 90.00
_cell_angle_gamma 120.00
loop_
_symmetry_equiv_pos_as_xyz
'x,y,z'
'-y,x-y,z'
'-x+y,-x,z'
'-y,-x,z'
'-x+y,y,z'
'x,x-y,z'
loop_
_atom_site_label
_atom_site_type_symbol
_atom_site_fract_x
_atom_site_fract_y
_atom_site_fract_z
_atom_site_occupancy
Sr1 Sr 0.0000 0.0000 0.0000 1
Cd1 Cd 0.3333 0.6667 0.5157 1
P1 P 0.6667 0.3333 0.4726 1
# Magnetic moment, Bohr magnetons per cell: 0.00
# DFT formation energy, eV per formula unit: -1.958

***

# 4
# NaNiBr3 | Alexandria | meta-GGA SCAN | PBEsol geometry
data_NaNiBr3
_chemical_formula_sum 'Na1 Ni1 Br3'
_symmetry_space_group_name_H-M 'P m -3 m'
_symmetry_Int_Tables_number 221
_symmetry_space_group_name_Hall '-P 4 2 3'
_cell_length_a 4.904
_cell_length_b 4.904
_cell_length_c 4.904
_cell_angle_alpha 90.00
_cell_angle_beta 90.00
_cell_angle_gamma 90.00
loop_
_atom_site_label
_atom_site_type_symbol
_atom_site_fract_x
_atom_site_fract_y
_atom_site_fract_z
_atom_site_occupancy
Na1 Na 0.000 0.000 0.000 1
Ni1 Ni 0.500 0.500 0.500 1
Br1 Br 0.000 0.500 0.500 1
# Magnetic moment, Bohr magnetons per cell: 0.00
# Formation energy (no corrections), eV per atom: -0.78

***

# 5
# La3BiN | Alexandria | meta-GGA SCAN | PBEsol geometry
data_La3BiN
_chemical_formula_sum 'La6 Bi2 N2'
_symmetry_space_group_name_H-M 'P 63/m m c'
_symmetry_Int_Tables_number 194
_symmetry_space_group_name_Hall '-P 6c 2c'
_cell_length_a 7.0939
_cell_length_b 7.0939
_cell_length_c 5.8994
_cell_angle_alpha 90.00
_cell_angle_beta 90.00
_cell_angle_gamma 120.00
loop_
_atom_site_label
_atom_site_type_symbol
_atom_site_fract_x
_atom_site_fract_y
_atom_site_fract_z
_atom_site_occupancy
La1 La 0.1636 0.3273 0.2500 1
Bi1 Bi 0.3333 0.6667 0.7500 1
N1 N 0.0000 0.0000 0.0000 1
# Magnetic moment, Bohr magnetons per cell: 0.00
# Formation energy (no corrections), eV per atom: -1.17

***

# 6
# FeNiAu2 | Alexandria | meta-GGA SCAN | PBEsol geometry
data_FeNiAu2
_chemical_formula_sum 'Fe1 Ni1 Au2'
_symmetry_space_group_name_H-M 'P 4 m m'
_symmetry_Int_Tables_number 99
_cell_length_a 2.777
_cell_length_b 2.777
_cell_length_c 7.276
_cell_angle_alpha 90.00
_cell_angle_beta 90.00
_cell_angle_gamma 90.00
loop_
_symmetry_equiv_pos_as_xyz
'x,y,z'
'-y,x,z'
'-x,-y,z'
'y,-x,z'
'-x,y,z'
'y,x,z'
'x,-y,z'
'-y,-x,z'
loop_
_atom_site_label
_atom_site_type_symbol
_atom_site_fract_x
_atom_site_fract_y
_atom_site_fract_z
_atom_site_occupancy
Fe1 Fe 0.000 0.000 0.000 1
Ni1 Ni 0.500 0.500 0.193 1
Au1 Au 0.000 0.000 0.443 1
Au2 Au 0.500 0.500 0.744 1
# Magnetic moment, Bohr magnetons per cell: 3.86
# DFT formation energy, eV per formula unit: -0.061